Computed, not measured: a relaxed Sr2AcSiN4 crystal at the GGA-PBE level of DFT.

abc: 3.478 6.320 12.713
angles: 90.00 90.00 105.98
Positions (direct):
1 Si 0.815 0.630 0.750
2 Si 0.185 0.370 0.250
3 N 0.728 0.456 0.858
4 N 0.403 0.805 0.750
5 N 0.728 0.456 0.642
6 N 0.000 0.000 0.500
7 N 0.272 0.544 0.142
8 N 0.272 0.544 0.358
9 N 0.597 0.195 0.250
10 N 0.000 0.000 0.000
11 Sr 0.362 0.725 0.955
12 Sr 0.362 0.725 0.545
13 Sr 0.638 0.275 0.455
14 Sr 0.638 0.275 0.045
15 Ac 0.098 0.196 0.750
16 Ac 0.902 0.804 0.250

Output
Fermi-level density of states: 0.434 states/eV per atom
total moment: 2.0 Bohr magnetons per cell
formation energy from raw total energies: -0.692 eV per atom